# ScTi3Au SCAN PBEsol geometry
data_ScTi3Au
_symmetry_space_group_name_H-M 'P 1'
_symmetry_Int_Tables_number 1
_symmetry_space_group_name_Hall 'P 1'
_cell_length_a 4.509
_cell_length_b 4.509
_cell_length_c 4.509
_cell_angle_alpha 90.00
_cell_angle_beta 90.00
_cell_angle_gamma 90.00
loop_
_atom_site_label
_atom_site_type_symbol
_atom_site_fract_x
_atom_site_fract_y
_atom_site_fract_z
Sc1 Sc 0.000 0.000 0.000
Au1 Au 0.500 0.500 0.500
Ti1 Ti 0.000 0.500 0.000
Ti2 Ti 0.000 0.000 0.500
Ti3 Ti 0.500 0.000 0.000
# * E_form: 1.141 eV/atom

---

# ZnCu2Ni SCAN PBEsol geometry
data_ZnCu2Ni
_symmetry_space_group_name_H-M 'P 1'
_symmetry_Int_Tables_number 1
_symmetry_space_group_name_Hall 'P 1'
_cell_length_a 2.673
_cell_length_b 4.113
_cell_length_c 4.833
_cell_angle_alpha 115.18
_cell_angle_beta 106.05
_cell_angle_gamma 90.00
loop_
_atom_site_label
_atom_site_type_symbol
_atom_site_fract_x
_atom_site_fract_y
_atom_site_fract_z
Ni1 Ni 0.500 0.000 0.000
Zn1 Zn 0.000 0.500 0.000
Cu1 Cu 0.751 0.751 0.503
Cu2 Cu 0.249 0.249 0.497
# * E_form: -0.048 eV/atom

---

# FeSi2Ge SCAN PBEsol geometry
data_FeSi2Ge
_symmetry_space_group_name_H-M 'P 1'
_symmetry_Int_Tables_number 1
_symmetry_space_group_name_Hall 'P 1'
_cell_length_a 3.584
_cell_length_b 3.584
_cell_length_c 9.057
_cell_angle_alpha 101.41
_cell_angle_beta 101.41
_cell_angle_gamma 90.00
loop_
_atom_site_label
_atom_site_type_symbol
_atom_site_fract_x
_atom_site_fract_y
_atom_site_fract_z
Ge1 Ge 0.250 0.750 0.500
Ge2 Ge 0.000 0.000 0.000
Si1 Si 0.378 0.875 0.250
Si2 Si 0.872 0.375 0.250
Si3 Si 0.125 0.128 0.750
Si4 Si 0.625 0.622 0.750
Fe1 Fe 0.750 0.250 0.500
Fe2 Fe 0.500 0.500 0.000
# * E_form (uncorrected): 31.4 kJ per mole of atoms

---

# YW2Au SCAN PBEsol geometry
data_YW2Au
_symmetry_space_group_name_H-M 'P 1'
_symmetry_Int_Tables_number 1
_symmetry_space_group_name_Hall 'P 1'
_cell_length_a 2.875
_cell_length_b 5.053
_cell_length_c 5.088
_cell_angle_alpha 90.00
_cell_angle_beta 90.00
_cell_angle_gamma 94.13
loop_
_atom_site_label
_atom_site_type_symbol
_atom_site_fract_x
_atom_site_fract_y
_atom_site_fract_z
Au1 Au 0.500 0.000 0.500
W1 W 0.353 0.255 0.000
W2 W 0.647 0.745 0.000
Y1 Y 0.000 0.500 0.500
# * energy above the lowest structure with this stoichiometry: 44 meV/atom
# * E_form: 0.380 eV/atom

---

# CoIr4 SCAN PBEsol geometry
data_CoIr4
_symmetry_space_group_name_H-M 'P 1'
_symmetry_Int_Tables_number 1
_symmetry_space_group_name_Hall 'P 1'
_cell_length_a 3.764
_cell_length_b 4.616
_cell_length_c 4.616
_cell_angle_alpha 80.43
_cell_angle_beta 65.94
_cell_angle_gamma 65.94
loop_
_atom_site_label
_atom_site_type_symbol
_atom_site_fract_x
_atom_site_fract_y
_atom_site_fract_z
Ir1 Ir 0.797 0.601 0.804
Ir2 Ir 0.203 0.399 0.196
Ir3 Ir 0.602 0.196 0.601
Ir4 Ir 0.398 0.804 0.399
Co1 Co 0.000 0.000 0.000
# * E_form: -0.017 eV/atom

---

# LuBPt2 SCAN PBEsol geometry
data_LuBPt2
_symmetry_space_group_name_H-M 'P 1'
_symmetry_Int_Tables_number 1
_symmetry_space_group_name_Hall 'P 1'
_cell_length_a 5.224
_cell_length_b 5.224
_cell_length_c 7.837
_cell_angle_alpha 90.00
_cell_angle_beta 90.00
_cell_angle_gamma 120.00
loop_
_atom_site_label
_atom_site_type_symbol
_atom_site_fract_x
_atom_site_fract_y
_atom_site_fract_z
B1 B 0.000 0.500 0.333
B2 B 0.500 0.500 0.000
B3 B 0.500 0.000 0.667
Lu1 Lu 0.500 0.500 0.500
Lu2 Lu 0.000 0.500 0.833
Lu3 Lu 0.500 0.000 0.167
Pt1 Pt 0.301 0.151 0.833
Pt2 Pt 0.151 0.849 0.500
Pt3 Pt 0.849 0.699 0.167
Pt4 Pt 0.849 0.151 0.500
Pt5 Pt 0.151 0.301 0.167
Pt6 Pt 0.699 0.849 0.833
# * E_form: -1.202 eV/atom

---

# La2MnSe SCAN PBEsol geometry
data_La2MnSe
_symmetry_space_group_name_H-M 'P 1'
_symmetry_Int_Tables_number 1
_symmetry_space_group_name_Hall 'P 1'
_cell_length_a 3.694
_cell_length_b 3.694
_cell_length_c 7.302
_cell_angle_alpha 90.00
_cell_angle_beta 90.00
_cell_angle_gamma 90.00
loop_
_atom_site_label
_atom_site_type_symbol
_atom_site_fract_x
_atom_site_fract_y
_atom_site_fract_z
La1 La 0.000 0.000 0.747
La2 La 0.000 0.000 0.253
Mn1 Mn 0.500 0.500 0.000
Se1 Se 0.500 0.500 0.500
# * E_form (uncorrected): -82.4 kJ per mole of atoms

---

# SrTl2W SCAN PBEsol geometry
data_SrTl2W
_symmetry_space_group_name_H-M 'P 1'
_symmetry_Int_Tables_number 1
_symmetry_space_group_name_Hall 'P 1'
_cell_length_a 3.076
_cell_length_b 5.616
_cell_length_c 5.616
_cell_angle_alpha 109.17
_cell_angle_beta 93.15
_cell_angle_gamma 93.15
loop_
_atom_site_label
_atom_site_type_symbol
_atom_site_fract_x
_atom_site_fract_y
_atom_site_fract_z
Sr1 Sr 0.500 0.000 0.000
Tl1 Tl 0.000 0.000 0.500
Tl2 Tl 0.000 0.500 0.000
W1 W 0.500 0.500 0.500
# * energy above the lowest structure with this stoichiometry: 258 meV/atom
# * E_form: 0.836 eV/atom

---

| no. | theoretical density (g cm⁻³) |
| --- | --- |
| 1 | 7.0 |
| 2 | 9.1 |
| 3 | 5.5 |
| 4 | 14.7 |
| 5 | 20.6 |
| 6 | 15.5 |
| 7 | 6.9 |
| 8 | 12.4 |